Entry 1:
TlOs2W | PBE | relaxed

```
TlOs2W
1.0
2.867 0.000 0.000
0.000 4.040 0.000
-0.005 0.000 5.875
Tl Os W
1 2 1
Direct
0.000 0.000 0.000
0.008 0.000 0.504
0.502 0.500 0.265
0.492 0.500 0.688
```

Formation enthalpy at 0 K in kJ/mol of atoms: 72.6
Fermi-level density of states in states/eV/f.u.: 3.97
M_tot in μB/atom: 0.000
Total DFT energy (no corrections) in eV/atom: -8.69
E above lowest polymorph in meV/atom: 224

Entry 2:
Tl2OsW | PBE | relaxed

```
Tl2OsW
1.0
1.534 0.885 9.245
-1.534 0.885 9.245
0.000 -1.771 9.245
Tl Os W
2 1 1
Direct
0.247 0.247 0.247
0.753 0.753 0.753
0.500 0.500 0.500
0.000 0.000 0.000
```

Formation enthalpy at 0 K in kJ/mol of atoms: 111.7
Fermi-level density of states in states/eV/f.u.: 2.68
M_tot in μB/atom: 0.000
Total DFT energy (no corrections) in eV/atom: -6.07
E above lowest polymorph in meV/atom: 666

Entry 3:
TlOs2W | PBE | relaxed

```
TlOs2W
1.0
-3.720 3.720 2.767
3.720 -3.720 2.767
3.720 3.720 -2.767
Tl Os W
2 4 2
Direct
0.000 0.000 0.000
0.750 0.250 0.500
0.177 0.625 0.052
0.375 0.427 0.552
0.573 0.125 0.948
0.875 0.823 0.448
0.250 0.750 0.500
0.500 0.500 0.000
```

Formation enthalpy at 0 K in kJ/mol of atoms: 110.2
Fermi-level density of states in states/eV/f.u.: 2.74
M_tot in μB/atom: 0.000
Total DFT energy (no corrections) in eV/atom: -8.30
E above lowest polymorph in meV/atom: 613

Entry 4:
TlOsW | PBE | relaxed

```
TlOsW
1.0
-1.499 1.499 6.061
1.499 -1.499 6.061
1.499 1.499 -6.061
Tl Os W
1 1 1
Direct
0.000 0.000 0.000
0.686 0.686 0.000
0.310 0.310 0.000
```

Formation enthalpy at 0 K in kJ/mol of atoms: 57.1
Fermi-level density of states in states/eV/f.u.: 2.83
M_tot in μB/atom: 0.000
Total DFT energy (no corrections) in eV/atom: -8.26
E above lowest polymorph in meV/atom: 0

Entry 5:
YTlOs2 | PBE | relaxed

```
YTlOs2
1.0
0.000 3.360 3.360
3.360 0.000 3.360
3.360 3.360 0.000
Y Tl Os
1 1 2
Direct
0.000 0.000 0.000
0.500 0.500 0.500
0.250 0.250 0.250
0.750 0.750 0.750
```

Formation enthalpy at 0 K in kJ/mol of atoms: 60.3
Fermi-level density of states in states/eV/f.u.: 7.53
M_tot in μB/atom: 0.000
Total DFT energy (no corrections) in eV/atom: -7.20
E above lowest polymorph in meV/atom: 391

Entry 6:
YTlOs2 | PBE | relaxed

```
YTlOs2
1.0
3.456 0.000 0.000
0.000 3.456 0.000
0.000 0.000 6.436
Y Tl Os
1 1 2
Direct
0.000 0.000 0.000
0.000 0.000 0.500
0.500 0.500 0.271
0.500 0.500 0.729
```

Formation enthalpy at 0 K in kJ/mol of atoms: 57.9
Fermi-level density of states in states/eV/f.u.: 5.68
M_tot in μB/atom: 0.001
Total DFT energy (no corrections) in eV/atom: -7.22
E above lowest polymorph in meV/atom: 367